Material: BaTaMn2
Method: DFT, GGA-PBE
State: relaxed

a b c (Å): 4.522 4.522 7.033
angles (deg): 83.75 83.75 40.86
Last column: magnetic moment on the atom in μB.
Fractional coordinates of all 4 atoms:
Ba 0.750 0.750 0.750  -0.04
Mn 0.983 0.983 0.103  2.90
Mn 0.517 0.517 0.397  2.90
Ta 0.250 0.250 0.250  -0.77

Results
- SG = C2/m, No. 12
- V (Å³ per atom) = 23.4
- excess energy over the best structure of this formula in the dataset (meV per atom) = 83.0
- DFT total energy (eV/atom) = -7.380
- energy of formation (eV/f.u.) = 2.6

Material: LiYTl2
Method: DFT, GGA-PBE
State: relaxed

a b c (Å): 6.277 6.277 6.277
angles (deg): 143.18 134.29 60.08
Fractional coordinates of all 4 atoms:
Li 0.260 0.760 0.500
Tl 0.973 0.973 0.000
Tl 0.750 0.250 0.500
Y 0.517 0.517 0.000

Results
- SG = Imm2, No. 44
- V (Å³ per atom) = 26.3
- excess energy over the best structure of this formula in the dataset (meV per atom) = 140.8
- DFT total energy (eV/atom) = -3.467
- energy of formation (eV/f.u.) = -0.8

Material: DyEr8Th2
Method: DFT, GGA-PBE
State: relaxed

a b c (Å): 5.910 8.945 9.123
angles (deg): 60.64 74.28 56.45
Fractional coordinates of all 11 atoms:
Dy 0.500 0.000 0.000
Er 0.824 0.100 0.234
Er 0.824 0.334 0.766
Er 0.296 0.426 0.000
Er 0.500 0.791 0.418
Er 0.500 0.209 0.582
Er 0.704 0.574 0.000
Er 0.176 0.666 0.234
Er 0.176 0.900 0.766
Th 0.000 0.306 0.387
Th 0.000 0.694 0.613

Results
- SG = C2/m, No. 12
- V (Å³ per atom) = 31.8
- excess energy over the best structure of this formula in the dataset (meV per atom) = 14.7
- DFT total energy (eV/atom) = -4.884
- energy of formation (eV/f.u.) = 2.2

Material: YSe2BrF
Method: DFT, GGA-PBE
State: relaxed

a b c (Å): 5.617 5.617 5.471
angles (deg): 90.00 90.00 90.00
Last column: magnetic moment on the atom in μB.
Fractional coordinates of all 5 atoms:
Y 0.000 0.000 0.000  -0.05
Se 0.000 0.500 0.000  0.73
Se 0.500 0.000 0.000  0.73
Br 0.000 0.000 0.500  0.12
F 0.500 0.500 0.500  0.44

Results
- SG = P4/mmm, No. 123
- V (Å³ per atom) = 34.5
- excess energy over the best structure of this formula in the dataset (meV per atom) = 78.4
- DFT total energy (eV/atom) = -4.015
- formation energy (no corrections) (eV per formula unit) = -3.10

Material: Sc2BeZnRh
Method: DFT, GGA-PBE
State: relaxed

a b c (Å): 4.950 4.275 4.950
angles (deg): 90.00 90.00 90.00
Fractional coordinates of all 5 atoms:
Sc 0.000 0.000 0.500
Sc 0.500 0.000 0.000
Be 0.000 0.500 0.000
Zn 0.500 0.500 0.500
Rh 0.000 0.000 0.000

Results
- SG = P4/mmm, No. 123
- V (Å³ per atom) = 21.0
- DFT total energy (eV/atom) = -5.047
- energy of formation (eV/f.u.) = -0.2